A plane-wave DFT calculation with PBE was carried out for an optimized crystal structure of SiPtRh2.

Cell: 3.7478 2.8187 5.6129 Å, 75.40 90.00 90.00°
Fractional coordinates of all 4 atoms:
Pt: 0.5000 0.5645 0.7467
Rh: 0.0000 0.9335 0.0081
Rh: 0.5000 0.2914 0.2929
Si: 0.0000 0.7106 0.4523

Results
Its space-group type is Amm2 (38). The calculation puts the size of the total moment at 0.0 Bohr magnetons per cell. For the electronic total energy, the calculation gives -6.95 eV/atom.

***

A plane-wave DFT calculation with PBE was carried out for an optimized crystal structure of AcNdHg5.

Cell: 4.7628 4.7628 9.1824 Å, 90.00 90.00 90.19°
Fractional coordinates of all 7 atoms:
Ac: 0.0000 0.0000 0.0000
Nd: 0.5000 0.5000 0.5000
Hg: 0.5000 0.0000 0.2546
Hg: 0.0000 0.5000 0.2546
Hg: 0.0000 0.0000 0.5000
Hg: 0.0000 0.5000 0.7454
Hg: 0.5000 0.0000 0.7454

Results
Its space-group type is Cmmm (65). The value obtained for the energy of formation is -315 meV/atom. The calculation puts the size of the total moment at 0.0 Bohr magnetons per cell. For the electronic total energy, the calculation gives -1.80 eV/atom.

***

A plane-wave DFT calculation with PBE was carried out for an optimized crystal structure of Pr2NiP3Pt4.

Cell: 4.2799 4.2799 9.7001 Å, 90.00 90.00 90.00°
Fractional coordinates of all 10 atoms:
Pr: 0.5000 0.0000 0.2545
Pr: 0.0000 0.5000 0.7455
Ni: 0.5000 0.5000 0.5000
P: 0.0000 0.0000 0.5000
P: 0.5000 0.0000 0.8663
P: 0.0000 0.5000 0.1337
Pt: 0.5000 0.5000 0.0000
Pt: 0.0000 0.0000 0.0000
Pt: 0.5000 0.0000 0.6231
Pt: 0.0000 0.5000 0.3769

Results
Its space-group type is P-4m2 (115). The value obtained for the energy of formation is -897 meV/atom. The calculation puts the size of the total moment at 0.0 Bohr magnetons per cell. For the electronic total energy, the calculation gives -6.47 eV/atom.

***

A plane-wave DFT calculation with PBE was carried out for an optimized crystal structure of CsZn2Pd.

Cell: 4.4772 4.4772 7.0636 Å, 71.52 71.52 60.00°
Fractional coordinates of all 4 atoms:
Cs: 0.0000 0.0000 0.0000
Zn: 0.1820 0.1820 0.4540
Zn: 0.8180 0.8180 0.5460
Pd: 0.5000 0.5000 0.5000

Results
Its space-group type is R-3m (166). The value obtained for the energy of formation is -224 meV/atom. The calculation puts the size of the total moment at 0.0 Bohr magnetons per cell. For the electronic total energy, the calculation gives -2.37 eV/atom.

***

A plane-wave DFT calculation with PBE was carried out for an optimized crystal structure of Si2AuC.

Cell: 4.4108 3.1590 9.3798 Å, 90.00 111.80 90.00°
Fractional coordinates of all 8 atoms:
Si: 0.4054 0.0000 0.5758
Si: 0.4054 0.5000 0.0758
Si: 0.5546 0.0000 0.8572
Si: 0.5546 0.5000 0.3572
Au: 0.9982 0.0000 0.3140
Au: 0.9982 0.5000 0.8140
C: 0.6239 0.0000 0.0687
C: 0.6239 0.5000 0.5687

Results
Its space-group type is Cm (8). The calculation puts the size of the total moment at 0.0 Bohr magnetons per cell. For the electronic total energy, the calculation gives -5.37 eV/atom.

***

A plane-wave DFT calculation with PBE was carried out for an optimized crystal structure of YAl2Ag.

Cell: 5.1940 5.1940 5.1940 Å, 129.57 129.55 74.11°
Fractional coordinates of all 4 atoms:
Y: 0.5003 0.5003 0.0000
Al: 0.9993 0.9993 0.0000
Al: 0.7502 0.2502 0.5000
Ag: 0.2502 0.7502 0.5000

Results
Its space-group type is Imm2 (44). The value obtained for the energy of formation is -226 meV/atom. The calculation puts the size of the total moment at 0.0 Bohr magnetons per cell. For the electronic total energy, the calculation gives -4.43 eV/atom.

***

A plane-wave DFT calculation with PBE was carried out for an optimized crystal structure of RbV3Ir.

Cell: 4.9367 4.9367 4.9367 Å, 90.00 90.00 90.00°
Fractional coordinates of all 5 atoms:
Ir: 0.0000 0.0000 0.0000
Rb: 0.5000 0.5000 0.5000
V: 0.0000 0.5000 0.0000
V: 0.0000 0.0000 0.5000
V: 0.5000 0.0000 0.0000

Results
Its space-group type is Pm-3m (221). The value obtained for the energy of formation is 1008 meV/atom. The calculation puts the size of the total moment at 7.4 Bohr magnetons per cell. For the electronic total energy, the calculation gives -6.43 eV/atom.

***

A plane-wave DFT calculation with PBE was carried out for an optimized crystal structure of Fe2SiPb.

Cell: 4.5125 4.5125 4.5125 Å, 60.00 60.00 60.00°
Fractional coordinates of all 4 atoms:
Fe: 0.0000 0.0000 0.0000
Fe: 0.2500 0.2500 0.2500
Pb: 0.5000 0.5000 0.5000
Si: 0.7500 0.7500 0.7500

Results
Its space-group type is F-43m (216). The calculation puts the size of the total moment at 4.5 Bohr magnetons per cell. For the electronic total energy, the calculation gives -5.82 eV/atom.

***

Which value of size of the total moment does entry 4 give?
0.0 Bohr magnetons per cell